(1)
First-principles (PBE-GGA) data for a relaxed structure of Be2AgPd2, as listed in Alexandria via LeMat-Bulk.

- M_tot: 0.000 μB per atom
- E_form: -0.1451 eV/atom
- Distance to the lowest polymorph of the same formula: 0.2266 eV/atom
- D(E_F): 3.38 states/eV/cell

a b c (Å): 7.6791 7.6791 7.6791
angles (deg): 157.16 157.16 32.52
Last column: nearest neighbours and their distance in Å.
Atoms (fractional coordinates):
Be: 0.2500 0.7500 0.5000  4 Be 2.15, 4 Pd 2.31
Be: 0.7500 0.2500 0.5000  4 Be 2.15, 4 Pd 2.31
Ag: 0.0000 0.0000 0.0000  8 Pd 2.90, 4 Ag 3.04
Pd: 0.3675 0.3675 0.0000  4 Be 2.31
Pd: 0.6325 0.6325 0.0000  4 Be 2.31

(2)
First-principles (PBE-GGA) data for a relaxed structure of BeV3H, as listed in Alexandria via LeMat-Bulk.

- M_tot: 0.000 μB per atom
- Distance to the lowest polymorph of the same formula: 0.0000 eV/atom
- D(E_F): 10.04 states/eV/cell

a b c (Å): 4.6835 4.6835 7.5083
angles (deg): 90.00 90.00 142.07
Last column: nearest neighbours and their distance in Å.
Atoms (fractional coordinates):
Be: 0.2495 0.7505 0.7500  9 V 2.32-2.58
Be: 0.7505 0.2495 0.2500  9 V 2.32-2.58
V: 0.0418 0.9582 0.2500  2 H 1.91
V: 0.3561 0.6439 0.0524  2 H 2.02
V: 0.3561 0.6439 0.4476  2 H 2.02
V: 0.6439 0.3561 0.5524  2 H 2.02
V: 0.6439 0.3561 0.9476  2 H 2.02
V: 0.9582 0.0418 0.7500  2 H 1.91
H: 0.0000 0.0000 0.0000  6 V 1.91-2.02
H: 0.0000 0.0000 0.5000  6 V 1.91-2.02

> Which value of D(E_F) does entry 2 give?

10.04 states/eV/cell